1.
{"formula": "GaRuF6", "functional": "PBE-GGA", "state": "optimized geometry", "e_tot_ev_per_atom": -4.973, "n_ef_per_ev_cell": 7.91, "lattice_angstrom": [[4.4976, 0.0038, 2.3427], [1.6278, 4.1837, 2.3556], [0.0419, 0.0132, 5.4075]], "species": ["Ga", "Ru", "F", "F", "F", "F", "F", "F"], "fractional_positions": [[0.0000, 0.0000, 0.0000], [0.5000, 0.5000, 0.5000], [0.1086, 0.3777, 0.7575], [0.7559, 0.1085, 0.7580], [0.6225, 0.2441, 0.2422], [0.2441, 0.8915, 0.2420], [0.8914, 0.6223, 0.2425], [0.3775, 0.7559, 0.7578]]}



2.
{"formula": "GaRuF3", "functional": "PBE-GGA", "state": "optimized geometry", "n_ef_per_ev_cell": 2.89, "polymorph_energy_mev_per_atom": 0, "lattice_angstrom": [[-4.0652, 0.7954, 0.2768], [-0.6654, -2.1965, -3.4594], [-0.5163, -3.4319, 2.2783]], "species": ["Ru", "Ga", "F", "F", "F"], "fractional_positions": [[0.0000, 0.0000, 0.0000], [0.5000, 0.5000, 0.5000], [0.0000, 0.5000, 0.0000], [0.0000, 0.0000, 0.5000], [0.5000, 0.0000, 0.0000]]}



3.
{"formula": "Ga3RuF", "functional": "PBE-GGA", "state": "optimized geometry", "n_ef_per_ev_cell": 1.86, "polymorph_energy_mev_per_atom": 0, "lattice_angstrom": [[-0.2743, -4.2712, 2.1384], [4.2906, 0.7210, 1.9906], [-2.0993, 2.0318, 3.7890]], "species": ["Ru", "Ga", "Ga", "Ga", "F"], "fractional_positions": [[0.0000, 0.0000, 0.0000], [0.0000, 0.5000, 0.0000], [0.0000, 0.0000, 0.5000], [0.5000, 0.0000, 0.0000], [0.5000, 0.5000, 0.5000]]}



4.
{"formula": "Ga3RuF", "functional": "PBE-GGA", "state": "optimized geometry", "n_ef_per_ev_cell": 1.93, "polymorph_energy_mev_per_atom": 507, "lattice_angstrom": [[-2.7824, 2.4674, 2.1820], [2.0243, -0.9722, 3.6807], [2.5983, 3.3996, -0.5310]], "species": ["Ru", "Ga", "Ga", "Ga", "F"], "fractional_positions": [[0.5000, 0.5000, 0.5000], [0.0000, 0.5000, 0.0000], [0.0000, 0.0000, 0.5000], [0.5000, 0.0000, 0.0000], [0.0000, 0.0000, 0.0000]]}



5.
{"formula": "GaRuF3", "functional": "PBE-GGA", "state": "optimized geometry", "n_ef_per_ev_cell": 4.37, "polymorph_energy_mev_per_atom": 268, "lattice_angstrom": [[-3.2066, 2.4873, -0.0128], [-0.7343, -0.9666, -3.8724], [-2.3764, -3.0575, 1.2139]], "species": ["Ru", "Ga", "F", "F", "F"], "fractional_positions": [[0.5000, 0.5000, 0.5000], [0.0000, 0.0000, 0.0000], [0.0000, 0.5000, 0.0000], [0.0000, 0.0000, 0.5000], [0.5000, 0.0000, 0.0000]]}



6.
{"formula": "GaRuS2F", "functional": "PBE-GGA", "state": "optimized geometry", "e_tot_ev_per_atom": -3.745, "n_ef_per_ev_cell": 4.48, "lattice_angstrom": [[4.4161, 0.0000, 0.0000], [0.0000, 4.0977, 0.0000], [0.0000, 0.0000, 4.4161]], "species": ["Ru", "S", "S", "Ga", "F"], "fractional_positions": [[0.5000, 0.5000, 0.5000], [0.0000, 0.0000, 0.5000], [0.5000, 0.0000, 0.0000], [0.0000, 0.5000, 0.0000], [0.0000, 0.0000, 0.0000]]}



7.
{"formula": "GaSbRu2F", "functional": "PBE-GGA", "state": "optimized geometry", "e_tot_ev_per_atom": -4.462, "n_ef_per_ev_cell": 4.23, "lattice_angstrom": [[4.6518, 0.0000, 0.0000], [0.0000, 5.1356, 0.0000], [0.0000, 0.0000, 4.6518]], "species": ["Sb", "F", "Ga", "Ru", "Ru"], "fractional_positions": [[0.0000, 0.5000, 0.0000], [0.5000, 0.5000, 0.5000], [0.0000, 0.0000, 0.0000], [0.0000, 0.0000, 0.5000], [0.5000, 0.0000, 0.0000]]}



8.
{"formula": "ScGaRu2F", "functional": "PBE-GGA", "state": "optimized geometry", "e_tot_ev_per_atom": -6.086, "n_ef_per_ev_cell": 3.40, "lattice_angstrom": [[-1.4211, 3.2860, -2.4793], [-3.7323, -1.4353, 0.2370], [-0.6940, 2.3940, 3.5709]], "species": ["Sc", "Ru", "Ru", "Ga", "F"], "fractional_positions": [[0.0000, 0.5000, 0.0000], [0.0000, 0.0000, 0.5000], [0.5000, 0.0000, 0.0000], [0.5000, 0.5000, 0.5000], [0.0000, 0.0000, 0.0000]]}



9.
{"formula": "Ga3SF", "functional": "PBE-GGA", "state": "optimized geometry", "n_ef_per_ev_cell": 2.30, "polymorph_energy_mev_per_atom": 399, "lattice_angstrom": [[5.2664, 0.0000, 0.0000], [0.0000, 5.2664, 0.0000], [0.0000, 0.0000, 5.2664]], "species": ["S", "Ga", "Ga", "Ga", "F"], "fractional_positions": [[0.0000, 0.0000, 0.0000], [0.0000, 0.5000, 0.0000], [0.0000, 0.0000, 0.5000], [0.5000, 0.0000, 0.0000], [0.5000, 0.5000, 0.5000]]}



10.
{"formula": "Ga2SF", "functional": "PBE-GGA", "state": "optimized geometry", "n_ef_per_ev_cell": 1.86, "polymorph_energy_mev_per_atom": 6, "lattice_angstrom": [[0.0000, 3.2153, 3.2153], [3.2153, 0.0000, 3.2153], [3.2153, 3.2153, 0.0000]], "species": ["S", "Ga", "Ga", "F"], "fractional_positions": [[0.5000, 0.5000, 0.5000], [0.2500, 0.2500, 0.2500], [0.7500, 0.7500, 0.7500], [0.0000, 0.0000, 0.0000]]}



11.
{"formula": "GaS6F", "functional": "PBE-GGA", "state": "optimized geometry", "e_tot_ev_per_atom": -3.940, "n_ef_per_ev_cell": 1.28, "lattice_angstrom": [[-4.4072, -1.0907, -0.7716], [1.4246, -5.9044, 0.7442], [-1.0885, -0.2370, 6.0170]], "species": ["Ga", "S", "S", "S", "S", "S", "S", "F"], "fractional_positions": [[0.5000, 0.0000, 0.0000], [0.6886, 0.4604, 0.5396], [0.3359, 0.9959, 0.3981], [0.3114, 0.5396, 0.4604], [0.6641, 0.3981, 0.9959], [0.6641, 0.0041, 0.6019], [0.3359, 0.6019, 0.0041], [0.0000, 0.0000, 0.0000]]}



12.
{"formula": "GaSF", "functional": "PBE-GGA", "state": "optimized geometry", "n_ef_per_ev_cell": 0.00, "polymorph_energy_mev_per_atom": 0, "lattice_angstrom": [[3.6696, 0.0000, 0.0000], [-1.8348, 3.1780, 0.0000], [0.0000, 0.0000, 5.3002]], "species": ["S", "Ga", "F"], "fractional_positions": [[0.3333, 0.6667, 0.4311], [0.0000, 0.0000, 0.2519], [0.0000, 0.0000, 0.9166]]}